Entry from the Alexandria database: TeIr2Au after structural relaxation (PBE).

The symmetry is No. 99. The formation energy without anion corrections comes out at 0.437 eV/atom. The excess energy over the best structure of this formula in the dataset is 145 meV per atom. The density of states at the Fermi level comes out at 3.26 states/eV/cell.

The structure in extended XYZ format:
```
4
Lattice="-2.2768 -1.7879 0.4542 0.3698 -1.1492 -2.6701 5.3106 -5.9277 3.2867" Properties=species:S:1:pos:R:3 pbc="T T T"
Te 2.4632 -2.7494 1.5245
Au 3.2442 -6.1541 1.4900
Ir 0.2320 -2.7918 -0.3742
Ir 0.1195 -0.1333 0.0739
```